Record 1
! TaI2O2 (PBE, optimized geometry); values from VASP
&SYSTEM
  ibrav = 0, nat = 5, ntyp = 3
/
ATOMIC_SPECIES
I 126.90 I.upf
O 16.00 O.upf
Ta 180.95 Ta.upf
CELL_PARAMETERS angstrom
5.0162 0.0000 0.0000
0.0000 5.0162 0.0000
0.0000 0.0000 3.5027
ATOMIC_POSITIONS crystal
I 0.0000 0.5000 0.0000
I 0.5000 0.0000 0.0000
O 0.0000 0.0000 0.0000
O 0.0000 0.0000 0.5000
Ta 0.5000 0.5000 0.5000
! magnetization: 0.0 μB/f.u.
! Fermi-level density of states: 3.94 states/eV/cell
! E_form (uncorrected): 1.04 eV per atom
! E: -3.936 eV per atom
! distance to the lowest polymorph of the same formula: 185.40 kJ/mol of atoms

***

Record 2
! TaIO6 (PBE, optimized geometry); values from VASP
&SYSTEM
  ibrav = 0, nat = 8, ntyp = 3
/
ATOMIC_SPECIES
Ta 180.95 Ta.upf
I 126.90 I.upf
O 16.00 O.upf
CELL_PARAMETERS angstrom
-1.4961 2.2407 4.0736
-4.8570 0.1434 -0.4958
-2.7834 -4.2268 1.9861
ATOMIC_POSITIONS crystal
Ta 0.0000 0.0000 0.0000
I 0.5000 0.5000 0.0000
O 0.7360 0.4004 0.7383
O 0.7360 0.1386 0.2617
O 0.2640 0.8614 0.7383
O 0.2640 0.5996 0.2617
O 0.7430 0.7511 0.0000
O 0.2570 0.2489 0.0000
! magnetization: 0.0 μB/f.u.
! E_form (uncorrected): -1.11 eV per atom
! E: -6.503 eV per atom

***

Record 3
! TaIO3 (PBE, optimized geometry); values from VASP
&SYSTEM
  ibrav = 0, nat = 5, ntyp = 3
/
ATOMIC_SPECIES
I 126.90 I.upf
O 16.00 O.upf
Ta 180.95 Ta.upf
CELL_PARAMETERS angstrom
4.0812 0.0000 0.0000
0.0000 4.0812 0.0000
0.0000 0.0000 4.0812
ATOMIC_POSITIONS crystal
I 0.5000 0.5000 0.5000
O 0.0000 0.5000 0.0000
O 0.0000 0.0000 0.5000
O 0.5000 0.0000 0.0000
Ta 0.0000 0.0000 0.0000
! magnetization: 1.7 μB/f.u.
! Fermi-level density of states: 2.53 states/eV/cell
! E_form (uncorrected): -1.38 eV per atom
! E: -7.035 eV per atom

***

Record 4
! TaI2O (PBE, optimized geometry); values from VASP
&SYSTEM
  ibrav = 0, nat = 4, ntyp = 3
/
ATOMIC_SPECIES
I 126.90 I.upf
O 16.00 O.upf
Ta 180.95 Ta.upf
CELL_PARAMETERS angstrom
0.6314 3.2151 3.5331
-2.1368 -0.6599 4.2682
2.6394 -1.1527 3.8631
ATOMIC_POSITIONS crystal
I 0.2500 0.2500 0.2500
I 0.7500 0.7500 0.7500
O 0.0000 0.0000 0.0000
Ta 0.5000 0.5000 0.5000
! magnetization: 0.9 μB/f.u.
! Fermi-level density of states: 2.57 states/eV/cell
! E_form (uncorrected): 0.54 eV per atom
! E: -4.435 eV per atom

***

Record 5
! TaI2O8 (PBE, optimized geometry); values from VASP
&SYSTEM
  ibrav = 0, nat = 11, ntyp = 3
/
ATOMIC_SPECIES
Ta 180.95 Ta.upf
I 126.90 I.upf
O 16.00 O.upf
CELL_PARAMETERS angstrom
-2.7077 -4.0934 -2.1056
2.5199 -4.0614 4.6573
-4.7040 3.0713 0.4422
ATOMIC_POSITIONS crystal
Ta 0.0000 0.0000 0.0000
I 0.2544 0.3896 0.7791
I 0.7456 0.6104 0.2209
O 0.4002 0.6255 0.2509
O 0.5998 0.3745 0.7491
O 0.7848 0.8866 0.1819
O 0.2247 0.1835 0.3664
O 0.2155 0.7049 0.8186
O 0.2152 0.1134 0.8181
O 0.7753 0.8165 0.6336
O 0.7845 0.2951 0.1814
! magnetization: 0.0 μB/f.u.
! Fermi-level density of states: 3.80 states/eV/cell
! E_form (uncorrected): -0.90 eV per atom
! E: -5.861 eV per atom

***

Record 6
! TaI3O (PBE, optimized geometry); values from VASP
&SYSTEM
  ibrav = 0, nat = 5, ntyp = 3
/
ATOMIC_SPECIES
I 126.90 I.upf
O 16.00 O.upf
Ta 180.95 Ta.upf
CELL_PARAMETERS angstrom
-1.0622 4.7681 -0.7436
-1.2740 0.4573 4.7523
4.6545 1.2133 1.1310
ATOMIC_POSITIONS crystal
I 0.0000 0.5000 0.0000
I 0.0000 0.0000 0.5000
I 0.5000 0.0000 0.0000
O 0.0000 0.0000 0.0000
Ta 0.5000 0.5000 0.5000
! magnetization: 0.0 μB/f.u.
! Fermi-level density of states: 6.26 states/eV/cell
! E_form (uncorrected): 1.22 eV per atom
! E: -3.070 eV per atom

***

Record 7
! TaI2O2 (PBE, optimized geometry); values from VASP
&SYSTEM
  ibrav = 0, nat = 5, ntyp = 3
/
ATOMIC_SPECIES
I 126.90 I.upf
O 16.00 O.upf
Ta 180.95 Ta.upf
CELL_PARAMETERS angstrom
5.5382 0.0000 0.0000
0.0000 5.5382 0.0000
0.0000 0.0000 3.8795
ATOMIC_POSITIONS crystal
I 0.0000 0.5000 0.0000
I 0.5000 0.0000 0.0000
O 0.5000 0.5000 0.5000
O 0.0000 0.0000 0.5000
Ta 0.0000 0.0000 0.0000
! magnetization: 1.3 μB/f.u.
! Fermi-level density of states: 4.13 states/eV/cell
! E_form (uncorrected): -0.30 eV per atom
! E: -5.273 eV per atom
! distance to the lowest polymorph of the same formula: 56.34 kJ/mol of atoms

***

Record 8
! TaIO3 (PBE, optimized geometry); values from VASP
&SYSTEM
  ibrav = 0, nat = 5, ntyp = 3
/
ATOMIC_SPECIES
I 126.90 I.upf
O 16.00 O.upf
Ta 180.95 Ta.upf
CELL_PARAMETERS angstrom
4.2076 0.0000 0.0000
0.0000 4.2076 0.0000
0.0000 0.0000 4.2076
ATOMIC_POSITIONS crystal
I 0.0000 0.0000 0.0000
O 0.0000 0.5000 0.0000
O 0.0000 0.0000 0.5000
O 0.5000 0.0000 0.0000
Ta 0.5000 0.5000 0.5000
! magnetization: 3.2 μB/f.u.
! Fermi-level density of states: 4.73 states/eV/cell
! E_form (uncorrected): 0.84 eV per atom
! E: -4.812 eV per atom